PBE-GGA DyYTh2, optimized geometry; E = -6.435 eV/atom; space group = No. 160; volume = 128.11 Å³ per cell; ΔE_f = 0.042 eV/atom; total magnetization = 0.00 μB/f.u.; E above lowest polymorph = 11.2 meV per atom; mass density = 9.27 g cm⁻³
1.0
-2.528 -2.506 0.230
0.785 -3.206 1.352
-3.377 1.893 11.157
Dy Y Th
1 1 2
Direct
0.498 0.498 0.505 Dy
0.668 0.668 0.995 Y
0.084 0.084 0.748 Th
0.249 0.249 0.252 Th